# 1
VASP calculation (GGA-PBE) on a relaxed structure of BaI2N2.

Values from the calculation:
Space group: No. 123
DOS(E_F) in states/eV/cell: 6.237
Energy above the lowest structure with this stoichiometry in meV per atom: 2179.5

Cell: 6.8184 6.8184 5.6245 Å, 90.00 90.00 90.00°
With the nearest neighbours (Å) after each atom.
Fractional positions:
I 0.0000 0.5000 0.0000  2 Ba 3.41
I 0.5000 0.0000 0.0000  2 Ba 3.41
Ba 0.0000 0.0000 0.0000  2 N 2.81
N 0.5000 0.5000 0.5000  8 I 4.42, 4 N 4.82
N 0.0000 0.0000 0.5000  2 Ba 2.81

---

# 2
VASP calculation (GGA-PBE) on a relaxed structure of BaI2N2.

Values from the calculation:
Space group: No. 123
DOS(E_F) in states/eV/cell: 2.382
Energy above the lowest structure with this stoichiometry in meV per atom: 2064.0

Cell: 4.5805 4.5805 6.8944 Å, 90.00 90.00 90.00°
With the nearest neighbours (Å) after each atom.
Fractional positions:
I 0.0000 0.0000 0.0000  4 N 2.29
I 0.0000 0.0000 0.5000  4 Ba 3.24, 2 I 3.45
Ba 0.5000 0.5000 0.5000  4 I 3.24
N 0.0000 0.5000 0.0000  2 I 2.29
N 0.5000 0.0000 0.0000  2 I 2.29

---

# 3
VASP calculation (GGA-PBE) on a relaxed structure of Ba2IN.

Values from the calculation:
Space group: No. 160

Cell: 4.2205 4.2205 8.7770 Å, 76.09 76.09 60.00°
With the nearest neighbours (Å) after each atom.
Fractional positions:
Ba 0.0580 0.0580 0.8259  3 N 2.84
Ba 0.2750 0.2750 0.1751  3 N 2.85
I 0.5001 0.5001 0.4998  6 Ba 3.67
N 0.6669 0.6669 0.9993  6 Ba 2.84-2.85

---

# 4
VASP calculation (GGA-PBE) on a relaxed structure of BaI4N2.

Values from the calculation:
Space group: No. 2

Cell: 6.5410 9.5640 18.4955 Å, 81.07 13.45 78.31°
With the nearest neighbours (Å) after each atom.
Fractional positions:
Ba 0.0000 0.0000 0.0000  4 N 2.82-2.85
I 0.1986 0.6653 0.2744  1 N 2.12
I 0.8014 0.3347 0.7256  1 N 2.12
I 0.1558 0.7820 0.7845  1 N 2.12
I 0.8442 0.2180 0.2155  1 N 2.12
N 0.3606 0.1486 0.4857  2 I 2.12
N 0.6394 0.8514 0.5143  2 I 2.12

---

Number 1: raw formation energy 1.12 eV per atom. Number 2: raw formation energy 1.01 eV per atom. Number 3: raw formation energy -1.01 eV per atom. Number 4: raw formation energy 0.14 eV per atom.